1.
An optimized crystal structure of TePW2, computed with GGA-PBE.

Lattice parameters (Å, degrees): 4.1641 4.1641 6.0304 77.04 77.04 46.64
Element x y z (fractional)
Te  0.0000  0.0000  0.5000
P  0.5000  0.5000  0.0000
W  0.2358  0.2358  0.8283
W  0.7642  0.7642  0.1717

Properties
Energy relative to the elements, uncorrected (eV/atom): 0.355
E_tot (eV per atom): -8.26
Energy above the most stable polymorph in this dataset (meV per atom): 170



2.
An optimized crystal structure of ZnTcAs2Br, computed with GGA-PBE.

Lattice parameters (Å, degrees): 4.8000 4.8000 5.2000 90.00 90.00 90.00
Element x y z (fractional)
Zn  0.0000  0.0000  0.0000
As  0.0000  0.5000  0.0000
As  0.5000  0.0000  0.0000
Tc  0.5000  0.5000  0.5000
Br  0.0000  0.0000  0.5000

Properties
Energy relative to the elements, uncorrected (eV/atom): 1.084
E_tot (eV per atom): -3.44
Energy above the most stable polymorph in this dataset (meV per atom): 707



3.
An optimized crystal structure of Ba4U3AgS12, computed with GGA-PBE.

Lattice parameters (Å, degrees): 8.9908 8.9908 8.9908 109.47 109.47 109.47
Element x y z (fractional)
Ba  0.5000  0.5000  0.5000
Ba  0.0000  0.0000  0.5000
Ba  0.5000  0.0000  0.0000
Ba  0.0000  0.5000  0.0000
U  0.5000  0.0000  0.5000
U  0.5000  0.5000  0.0000
U  0.0000  0.5000  0.5000
Ag  0.0000  0.0000  0.0000
S  0.2500  0.5000  0.7500
S  0.7424  0.0000  0.7424
S  0.2576  0.0000  0.2576
S  0.7500  0.5000  0.2500
S  0.7424  0.7424  0.0000
S  0.2576  0.2576  0.0000
S  0.7500  0.2500  0.5000
S  0.2500  0.7500  0.5000
S  0.5000  0.2500  0.7500
S  0.0000  0.7424  0.7424
S  0.5000  0.7500  0.2500
S  0.0000  0.2576  0.2576

Properties
Energy relative to the elements, uncorrected (eV/atom): -1.521
E_tot (eV per atom): -6.22



4.
An optimized crystal structure of Zr3AlNi2, computed with GGA-PBE.

Lattice parameters (Å, degrees): 6.6581 6.6581 3.3215 90.00 90.00 120.00
Element x y z (fractional)
Zr  0.5000  0.0000  0.5000
Zr  0.0000  0.5000  0.5000
Zr  0.5000  0.5000  0.5000
Al  0.0000  0.0000  0.0000
Ni  0.3333  0.6667  0.0000
Ni  0.6667  0.3333  0.0000

Properties
E_tot (eV per atom): -6.68
Energy above the most stable polymorph in this dataset (meV per atom): 387
Energy of formation from the pure elements (kcal/mol of atoms): 3.2



5.
An optimized crystal structure of Ba2AgSnB, computed with GGA-PBE.

Lattice parameters (Å, degrees): 6.6422 5.1136 6.6422 90.00 90.00 90.00
Element x y z (fractional)
B  0.5000  0.5000  0.5000
Ba  0.0000  0.0000  0.5000
Ba  0.5000  0.0000  0.0000
Ag  0.0000  0.5000  0.0000
Sn  0.0000  0.0000  0.0000

Properties
E_tot (eV per atom): -2.67
Energy of formation from the pure elements (kcal/mol of atoms): 18.5



6.
An optimized crystal structure of TbYMgSn, computed with GGA-PBE.

Lattice parameters (Å, degrees): 5.3094 5.3094 5.3094 60.00 60.00 60.00
Element x y z (fractional)
Y  0.7500  0.7500  0.7500
Mg  0.5000  0.5000  0.5000
Tb  0.2500  0.2500  0.2500
Sn  0.0000  0.0000  0.0000

Properties
E_tot (eV per atom): -4.59
Energy of formation from the pure elements (kcal/mol of atoms): -9.6



7.
An optimized crystal structure of KCeHg2, computed with GGA-PBE.

Lattice parameters (Å, degrees): 3.8425 3.8425 8.6099 90.00 90.00 90.00
Element x y z (fractional)
K  0.5000  0.5000  0.5000
Hg  0.0000  0.0000  0.7883
Hg  0.0000  0.0000  0.2117
Ce  0.5000  0.5000  0.0000

Properties
E_tot (eV per atom): -2.13
Energy above the most stable polymorph in this dataset (meV per atom): 0
Energy of formation from the pure elements (kcal/mol of atoms): -5.1



8.
An optimized crystal structure of Y2Ni2Os, computed with GGA-PBE.

Lattice parameters (Å, degrees): 6.6998 6.6998 4.0507 90.00 90.00 90.00
Element x y z (fractional)
Y  0.1841  0.6841  0.5000
Y  0.6841  0.8159  0.5000
Y  0.8159  0.3159  0.5000
Y  0.3159  0.1841  0.5000
Ni  0.3753  0.8753  0.0000
Ni  0.8753  0.6247  0.0000
Ni  0.6247  0.1247  0.0000
Ni  0.1247  0.3753  0.0000
Os  0.0000  0.0000  0.0000
Os  0.5000  0.5000  0.0000

Properties
E_tot (eV per atom): -7.33
Energy above the most stable polymorph in this dataset (meV per atom): 0
Energy of formation from the pure elements (kcal/mol of atoms): -4.3



9.
An optimized crystal structure of As2C2Br, computed with GGA-PBE.

Lattice parameters (Å, degrees): 8.3539 8.3539 2.8560 90.00 90.00 90.00
Element x y z (fractional)
As  0.3665  0.8665  0.0000
As  0.8665  0.6335  0.0000
As  0.6335  0.1335  0.0000
As  0.1335  0.3665  0.0000
C  0.0602  0.5602  0.5000
C  0.5602  0.9398  0.5000
C  0.9398  0.4398  0.5000
C  0.4398  0.0602  0.5000
Br  0.0000  0.0000  0.0000
Br  0.5000  0.5000  0.0000

Properties
Energy relative to the elements, uncorrected (eV/atom): 1.409
E_tot (eV per atom): -4.47
Energy above the most stable polymorph in this dataset (meV per atom): 266



10.
An optimized crystal structure of PuZnBi, computed with GGA-PBE.

Lattice parameters (Å, degrees): 3.3345 5.1219 5.1219 120.00 90.00 90.00
Element x y z (fractional)
Zn  0.1654  0.0000  0.0000
Bi  0.1676  0.3333  0.6667
Pu  0.6670  0.6667  0.3333

Properties
E_tot (eV per atom): -6.60
Energy of formation from the pure elements (kcal/mol of atoms): -2.4



11.
An optimized crystal structure of SmPuCdPb, computed with GGA-PBE.

Lattice parameters (Å, degrees): 5.4377 5.4377 5.4377 60.00 60.00 60.00
Element x y z (fractional)
Pb  0.2500  0.2500  0.2500
Cd  0.7500  0.7500  0.7500
Sm  0.0000  0.0000  0.0000
Pu  0.5000  0.5000  0.5000

Properties
E_tot (eV per atom): -6.14
Energy of formation from the pure elements (kcal/mol of atoms): -5.1



12.
An optimized crystal structure of Tm4Te5C2, computed with GGA-PBE.

Lattice parameters (Å, degrees): 4.1987 8.0943 9.9978 113.88 102.12 90.00
Element x y z (fractional)
Tm  0.0000  0.2682  0.0000
Tm  0.6803  0.6803  0.3606
Tm  0.0000  0.7318  0.0000
Tm  0.3197  0.3197  0.6394
Te  0.8362  0.0715  0.6725
Te  0.8362  0.6010  0.6725
Te  0.1638  0.3990  0.3275
Te  0.1638  0.9285  0.3275
Te  0.5000  0.0000  0.0000
C  0.4636  0.4636  0.9272
C  0.5364  0.5364  0.0728

Properties
Energy relative to the elements, uncorrected (eV/atom): -0.825
E_tot (eV per atom): -5.56



13.
An optimized crystal structure of KScTeO6, computed with GGA-PBE.

Lattice parameters (Å, degrees): 5.6424 5.6424 11.1053 90.00 90.00 120.00
Element x y z (fractional)
K  0.0000  0.0000  0.0000
K  0.0000  0.0000  0.5000
Sc  0.6667  0.3333  0.2500
Sc  0.3333  0.6667  0.7500
Te  0.3333  0.6667  0.2500
Te  0.6667  0.3333  0.7500
O  0.5907  0.6144  0.1541
O  0.0237  0.4093  0.1541
O  0.4093  0.0237  0.6541
O  0.9763  0.5907  0.8459
O  0.3856  0.4093  0.3459
O  0.0237  0.6144  0.3459
O  0.6144  0.0237  0.8459
O  0.5907  0.9763  0.3459
O  0.9763  0.3856  0.6541
O  0.3856  0.9763  0.1541
O  0.6144  0.5907  0.6541
O  0.4093  0.3856  0.8459

Properties
Energy relative to the elements, uncorrected (eV/atom): -1.518
E_tot (eV per atom): -6.00



14.
An optimized crystal structure of LiZnSb4O8, computed with GGA-PBE.

Lattice parameters (Å, degrees): 3.4605 6.6059 9.5111 75.20 83.57 84.34
Element x y z (fractional)
Li  0.6052  0.7620  0.2512
Zn  0.5009  0.3176  0.7989
Sb  0.6848  0.7694  0.5606
Sb  0.0540  0.8503  0.8780
Sb  0.8895  0.2626  0.0933
Sb  0.1419  0.3718  0.4306
O  0.7406  0.4251  0.2739
O  0.4790  0.0612  0.1682
O  0.5660  0.9590  0.7623
O  0.1259  0.6924  0.7025
O  0.1297  0.6833  0.3861
O  0.0078  0.1763  0.8834
O  0.6668  0.4483  0.5892
O  0.4657  0.4513  0.9816

Properties
Energy relative to the elements, uncorrected (eV/atom): -1.313
E_tot (eV per atom): -5.55
Energy above the most stable polymorph in this dataset (meV per atom): 0



15.
An optimized crystal structure of Nd2SnCl, computed with GGA-PBE.

Lattice parameters (Å, degrees): 4.3433 4.3433 7.9983 74.25 74.25 60.00
Element x y z (fractional)
Nd  0.0784  0.0784  0.7648
Nd  0.2568  0.2568  0.2297
Sn  0.6681  0.6681  0.9957
Cl  0.4967  0.4967  0.5098

Properties
Energy relative to the elements, uncorrected (eV/atom): -0.996
E_tot (eV per atom): -4.84
Energy above the most stable polymorph in this dataset (meV per atom): 0



16.
An optimized crystal structure of TeMoRu, computed with GGA-PBE.

Lattice parameters (Å, degrees): 4.3464 4.3464 4.3464 60.00 60.00 60.00
Element x y z (fractional)
Mo  0.5000  0.5000  0.5000
Ru  0.7500  0.7500  0.7500
Te  0.0000  0.0000  0.0000

Properties
Energy relative to the elements, uncorrected (eV/atom): 0.296
E_tot (eV per atom): -7.45
Energy above the most stable polymorph in this dataset (meV per atom): 0



17.
An optimized crystal structure of Nd3Y3Ho8, computed with GGA-PBE.

Lattice parameters (Å, degrees): 5.6503 9.6735 9.6735 101.39 73.02 73.02
Element x y z (fractional)
Nd  0.5000  0.0000  0.0000
Nd  0.0000  0.8159  0.1841
Nd  0.0000  0.1841  0.8159
Y  0.5000  0.5000  0.5000
Y  0.7973  0.2028  0.2028
Y  0.2027  0.7972  0.7972
Ho  0.6599  0.1179  0.5619
Ho  0.3401  0.8821  0.4381
Ho  0.6599  0.5619  0.1179
Ho  0.3401  0.4381  0.8821
Ho  0.8431  0.7599  0.5542
Ho  0.1569  0.2401  0.4458
Ho  0.8431  0.5542  0.7599
Ho  0.1569  0.4458  0.2401

Properties
E_tot (eV per atom): -4.91
Energy of formation from the pure elements (kcal/mol of atoms): 2.5